# 1
SCAN MgMn2Cl, single point on PBEsol structure; electronic total energy = -12.4415 eV/atom; excess energy over the best structure of this formula in the dataset = 246 meV/atom; space group = C2/m; E_form (uncorrected) = -0.0760 eV/atom; calculated volume = 16.14 A^3/atom
1.0
-1.443 0.888 -2.406
3.222 -2.101 -2.708
-3.411 -3.317 2.621
Cl Mg Mn
1 1 2
Cartesian
1.611 -1.050 -1.354
-0.722 0.444 -1.203
-1.352 -2.105 0.034
-0.279 -2.424 -2.527

# 2
SCAN Na14Cu2O9, single point on PBEsol structure; electronic total energy = -7.0928 eV/atom; space group = P-3; E_form (uncorrected) = -1.2733 eV/atom; calculated volume = 13.83 A^3/atom
1.0
6.579 0.000 0.000
-3.290 5.698 0.000
0.000 0.000 9.222
Na Cu O
14 2 9
Cartesian
4.265 3.650 0.856
2.464 3.546 3.743
5.128 1.791 3.743
0.000 0.000 6.908
0.000 0.000 2.315
4.319 0.179 0.856
1.286 1.868 0.856
1.013 5.337 5.480
2.277 0.361 3.743
2.004 3.830 8.366
-1.029 5.518 8.366
-1.839 3.906 5.480
0.826 2.152 5.480
-0.975 2.047 8.366
3.290 1.899 6.795
0.000 3.799 2.427
2.482 3.638 6.114
5.199 1.729 6.114
3.290 1.899 8.822
0.000 0.000 0.000
1.102 5.367 3.109
2.187 0.330 6.114
0.000 3.799 0.400
-1.910 3.969 3.109
0.807 2.059 3.109

# 3
SCAN Co2Re, single point on PBEsol structure; electronic total energy = -35.0965 eV/atom; excess energy over the best structure of this formula in the dataset = 44 meV/atom; E_form = 0.139 eV/atom; space group = C2/m; calculated volume = 11.56 A^3/atom
1.0
2.597 0.000 0.000
-1.298 4.600 -0.005
0.000 -1.553 5.810
Re Co
2 4
Cartesian
0.000 4.055 1.168
1.298 -1.007 4.636
1.298 1.449 5.015
0.000 1.599 0.789
1.298 2.534 2.730
0.000 0.513 3.075

# 4
SCAN Ac2CuIr, single point on PBEsol structure; electronic total energy = -67.1947 eV/atom; E_form = -0.383 eV/atom; space group = Fm-3m; calculated volume = 24.89 A^3/atom
1.0
5.203 0.000 0.000
2.601 4.506 0.000
2.601 1.502 4.248
Ac Ir Cu
2 1 1
Cartesian
7.804 4.506 3.186
2.601 1.502 1.062
0.000 0.000 0.000
5.203 3.004 2.124

# 5
SCAN MgZrCu, single point on PBEsol structure; electronic total energy = -17.0388 eV/atom; E_form = -0.081 eV/atom; space group = I4mm; calculated volume = 17.81 A^3/atom
1.0
3.018 0.000 0.000
0.000 3.018 0.000
-1.509 -1.509 5.865
Mg Zr Cu
1 1 1
Cartesian
1.509 1.509 1.704
0.000 0.000 4.139
0.000 0.000 0.022

# 6
SCAN BiBSe2Br, single point on PBEsol structure; electronic total energy = -27.3680 eV/atom; space group = P4/mmm; E_form (uncorrected) = 1.7571 eV/atom; calculated volume = 28.66 A^3/atom
1.0
5.058 0.000 0.000
0.000 5.058 0.000
0.000 0.000 5.601
B Se Bi Br
1 2 1 1
Cartesian
2.529 2.529 2.800
0.000 2.529 0.000
2.529 0.000 0.000
0.000 0.000 2.800
0.000 0.000 0.000

# 7
SCAN HoMg2, single point on PBEsol structure; electronic total energy = -19.6953 eV/atom; E_form = -0.050 eV/atom; space group = P6_3/mmc; calculated volume = 24.92 A^3/atom
1.0
-0.312 5.537 2.231
-3.319 -1.505 -4.737
-7.143 -2.775 5.887
Ho Mg
4 8
Cartesian
-6.345 -0.723 0.905
-1.771 3.012 0.284
-4.430 1.979 2.475
-9.004 -1.755 3.096
-6.032 -0.443 4.368
-4.591 -0.994 -2.073
-2.975 -0.261 0.232
-7.800 1.518 3.148
-3.572 -1.387 2.943
0.000 0.000 0.000
-4.743 1.700 -0.988
-6.184 2.251 5.453

# 8
SCAN ZnSb2Ir, single point on PBEsol structure; electronic total energy = -39.5545 eV/atom; excess energy over the best structure of this formula in the dataset = 13 meV/atom; space group = P4/mmm; E_form (uncorrected) = 0.2295 eV/atom; calculated volume = 19.60 A^3/atom
1.0
3.183 0.000 0.000
0.000 3.183 0.000
0.000 0.000 7.739
Ir Sb Zn
1 2 1
Cartesian
1.591 1.591 3.870
0.000 0.000 5.595
0.000 0.000 2.145
1.591 1.591 0.000

# 9
SCAN Cd2In2Te, single point on PBEsol structure; electronic total energy = -32.9217 eV/atom; space group = I4/mmm; E_form (uncorrected) = 0.0488 eV/atom; calculated volume = 26.59 A^3/atom
1.0
4.028 0.000 0.000
0.000 4.028 0.000
-2.014 -2.014 8.196
Cd Te In
2 1 2
Cartesian
0.000 2.014 4.098
2.014 0.000 4.098
0.000 0.000 0.000
0.000 0.000 6.604
2.014 2.014 1.592

# 10
SCAN CdIn, single point on PBEsol structure; electronic total energy = -31.8279 eV/atom; E_form = 0.073 eV/atom; space group = P-3m1; calculated volume = 23.20 A^3/atom
1.0
-0.295 3.099 0.348
-1.796 -1.522 -2.066
-7.548 -1.588 7.732
In Cd
2 2
Cartesian
-6.085 -0.989 3.645
-3.554 0.978 2.370
-2.167 -0.165 -0.369
-7.473 0.154 6.384

# 11
SCAN SrSi2P, single point on PBEsol structure; electronic total energy = -12.9218 eV/atom; space group = I4/mmm; E_form (uncorrected) = 0.2545 eV/atom; calculated volume = 19.60 A^3/atom
1.0
3.984 0.000 0.000
0.000 3.984 0.000
-1.992 -1.992 4.940
Sr Si P
1 2 1
Cartesian
1.992 1.992 0.000
1.992 0.000 2.470
0.000 1.992 2.470
0.000 0.000 0.000

# 12
SCAN TlZn2GeOs, single point on PBEsol structure; electronic total energy = -37.1569 eV/atom; E_form = 0.914 eV/atom; space group = P4/mmm; calculated volume = 20.33 A^3/atom
1.0
-4.119 1.387 -1.667
-1.916 -0.619 4.218
1.035 4.418 1.119
Zn Tl Os Ge
2 1 1 1
Cartesian
0.517 2.209 0.559
-0.958 -0.310 2.109
-2.500 2.593 1.835
-2.059 0.693 -0.834
0.000 0.000 0.000